The following is a PBE+U calculation of CrGaPtO6 after structural relaxation, from Alexandria via LeMat-Bulk.

a = 4.5489 Å, b = 4.5489 Å, c = 9.2148 Å
α = 90.00°, β = 90.00°, γ = 90.00°
Sites, in units of the cell vectors:
Cr 0.0000 0.0000 0.0000
Cr 0.5000 0.5000 0.5000
Ga 0.0000 0.0000 0.3312
Ga 0.5000 0.5000 0.8312
Pt 0.0000 0.0000 0.6653
Pt 0.5000 0.5000 0.1653
O 0.1924 0.1924 0.8362
O 0.1931 0.1931 0.1636
O 0.1981 0.1981 0.4975
O 0.3019 0.6981 0.9975
O 0.3069 0.6931 0.6636
O 0.3076 0.6924 0.3362
O 0.6924 0.3076 0.3362
O 0.6931 0.3069 0.6636
O 0.6981 0.3019 0.9975
O 0.8019 0.8019 0.4975
O 0.8069 0.8069 0.1636
O 0.8076 0.8076 0.8362

Properties
Space group   No. 102
E_tot   -6.32 eV per atom
Density   7.19 g cm⁻³